1.
Compound: Ba2CuAu
Source: Alexandria
Functional: meta-GGA SCAN
Structure: single point on PBEsol structure

Properties
DOS(E_F) ... 2.99 states/eV/cell
Space group ... No. 119
ΔE_f ... -160 meV/atom

Cell lengths 4.5583, 4.5583, 6.5280 Å; angles 110.43, 110.43, 90.00 degrees
Last column: nearest neighbours and their distance in Å.
Fractional coordinates of all 4 atoms:
Au 0.2500 0.7500 0.5000  4 Ba 3.22
Ba 0.0000 0.0000 0.0000  4 Cu 3.22
Ba 0.7500 0.2500 0.5000  4 Au 3.22
Cu 0.5000 0.5000 0.0000  4 Ba 3.22

---

2.
Compound: Ba2CuAu
Source: Alexandria
Functional: meta-GGA SCAN
Structure: single point on PBEsol structure

Properties
DOS(E_F) ... 2.08 states/eV/cell
Space group ... No. 44
ΔE_f ... -368 meV/atom

Cell lengths 4.3330, 4.4342, 8.2511 Å; angles 105.59, 105.22, 90.00 degrees
Last column: nearest neighbours and their distance in Å.
Fractional coordinates of all 4 atoms:
Au 0.6666 0.1666 0.3332  2 Cu 2.56
Ba 0.0033 0.0033 0.0067  2 Au 3.31, 4 Cu 3.33
Ba 0.2472 0.7472 0.4944  2 Cu 3.32, 4 Au 3.34
Cu 0.5829 0.5829 0.1657  2 Au 2.56

---

no.,offset from the most stable computed form (eV per atom),spin magnetization (Bohr magnetons per cell)
1,0.281,0.00
2,0.072,0.00